The following is a PBE calculation of a geometry-optimized NdCuAu11 structure, from Alexandria via LeMat-Bulk.

The structure in POSCAR format:
```
NdCuAu11
1.0
-3.088 2.883 -3.641
-2.879 -4.184 -5.102
-7.011 0.479 2.053
Au Nd Cu
11 1 1
direct
0.493 0.782 0.210 Au
0.703 0.782 0.790 Au
0.297 0.218 0.210 Au
0.500 0.000 0.500 Au
0.507 0.218 0.790 Au
0.356 0.647 0.663 Au
0.000 0.000 0.500 Au
0.020 0.647 0.337 Au
0.000 0.500 0.000 Au
0.644 0.353 0.337 Au
0.980 0.353 0.663 Au
0.000 0.000 0.000 Nd
0.500 0.500 0.000 Cu
```

## Properties
Its formation energy is -2.6 eV per formula unit. For the density of states at the Fermi level, the calculation gives 4.34 states/eV/cell.